1.
Below is a relaxed structure of CaNiSe2, with properties calculated at the PBE-GGA level.

Properties
The value obtained for the electronic total energy is -4.276 eV per atom. Its symmetry is P4mm, No. 99. The uncorrected formation energy is -2.4 eV per formula unit. As for the volume: 23.15 Å³ per atom. The value obtained for the magnetization is 0.00 μB per formula unit. As for the density of states at the Fermi level: 0.37 states/eV/atom. As for the mass density: 4.603 g/cm³.

```
data_CaNiSe2
_chemical_formula_sum 'Ca1 Ni1 Se2'
_cell_length_a 3.4463
_cell_length_b 3.4463
_cell_length_c 7.7967
_cell_angle_alpha 90.00
_cell_angle_beta 90.00
_cell_angle_gamma 90.00
_symmetry_space_group_name_H-M 'P 1'
_symmetry_Int_Tables_number 1
loop_
_symmetry_equiv_pos_as_xyz
'x,y,z'
loop_
_atom_site_label
_atom_site_type_symbol
_atom_site_fract_x
_atom_site_fract_y
_atom_site_fract_z
Ni1 Ni 0.5000 0.5000 0.8146
Ca1 Ca 0.0000 0.0000 0.4978
Se1 Se 0.0000 0.0000 0.8800
Se2 Se 0.5000 0.5000 0.3075
```

---

2.
Below is a relaxed structure of CaNiSe, with properties calculated at the PBE-GGA level.

Properties
The value obtained for the electronic total energy is -4.623 eV per atom. Its symmetry is Pnma, No. 62. The uncorrected formation energy is -2.6 eV per formula unit. As for the volume: 21.22 Å³ per atom. The value obtained for the magnetization is 0.00 μB per formula unit. As for the density of states at the Fermi level: 0.47 states/eV/atom. As for the mass density: 4.635 g/cm³.

```
data_CaNiSe
_chemical_formula_sum 'Ca4 Ni4 Se4'
_cell_length_a 8.6535
_cell_length_b 4.0687
_cell_length_c 7.2337
_cell_angle_alpha 90.00
_cell_angle_beta 90.00
_cell_angle_gamma 90.00
_symmetry_space_group_name_H-M 'P 1'
_symmetry_Int_Tables_number 1
loop_
_symmetry_equiv_pos_as_xyz
'x,y,z'
loop_
_atom_site_label
_atom_site_type_symbol
_atom_site_fract_x
_atom_site_fract_y
_atom_site_fract_z
Ni1 Ni 0.4648 0.2500 0.4031
Ni2 Ni 0.0352 0.7500 0.9031
Ni3 Ni 0.5352 0.7500 0.5969
Ni4 Ni 0.9648 0.2500 0.0969
Ca1 Ca 0.7895 0.2500 0.4641
Ca2 Ca 0.7105 0.7500 0.9641
Ca3 Ca 0.2105 0.7500 0.5359
Ca4 Ca 0.2895 0.2500 0.0359
Se1 Se 0.0359 0.2500 0.7496
Se2 Se 0.4641 0.7500 0.2496
Se3 Se 0.9641 0.7500 0.2504
Se4 Se 0.5359 0.2500 0.7504
```

---

3.
Below is a relaxed structure of CaNiSe2, with properties calculated at the PBE-GGA level.

Properties
The value obtained for the electronic total energy is -4.636 eV per atom. Its symmetry is Pm, No. 6. The uncorrected formation energy is -3.8 eV per formula unit. As for the volume: 23.90 Å³ per atom. The value obtained for the magnetization is 0.01 μB per formula unit. As for the density of states at the Fermi level: 0.85 states/eV/atom. As for the mass density: 4.459 g/cm³.

```
data_CaNiSe2
_chemical_formula_sum 'Ca2 Ni2 Se4'
_cell_length_a 6.7158
_cell_length_b 3.7461
_cell_length_c 7.9510
_cell_angle_alpha 90.00
_cell_angle_beta 107.10
_cell_angle_gamma 90.00
_symmetry_space_group_name_H-M 'P 1'
_symmetry_Int_Tables_number 1
loop_
_symmetry_equiv_pos_as_xyz
'x,y,z'
loop_
_atom_site_label
_atom_site_type_symbol
_atom_site_fract_x
_atom_site_fract_y
_atom_site_fract_z
Ni1 Ni 0.8250 0.0000 0.8584
Ni2 Ni 0.8884 0.5000 0.5814
Ca1 Ca 0.3967 0.5000 0.7300
Ca2 Ca 0.8613 0.5000 0.1965
Se1 Se 0.0891 0.0000 0.4856
Se2 Se 0.6548 0.0000 0.5511
Se3 Se 0.5601 0.0000 0.0102
Se4 Se 0.0439 0.5000 0.8992
```

---

4.
Below is a relaxed structure of CaNiSe, with properties calculated at the PBE-GGA level.

Properties
The value obtained for the electronic total energy is -4.667 eV per atom. Its symmetry is Cm, No. 8. The uncorrected formation energy is -2.7 eV per formula unit. As for the volume: 20.92 Å³ per atom. The value obtained for the magnetization is 0.00 μB per formula unit. As for the density of states at the Fermi level: 0.62 states/eV/atom. As for the mass density: 4.703 g/cm³.

```
data_CaNiSe
_chemical_formula_sum 'Ca2 Ni2 Se2'
_cell_length_a 4.2389
_cell_length_b 4.0030
_cell_length_c 8.6725
_cell_angle_alpha 103.31
_cell_angle_beta 91.18
_cell_angle_gamma 61.78
_symmetry_space_group_name_H-M 'P 1'
_symmetry_Int_Tables_number 1
loop_
_symmetry_equiv_pos_as_xyz
'x,y,z'
loop_
_atom_site_label
_atom_site_type_symbol
_atom_site_fract_x
_atom_site_fract_y
_atom_site_fract_z
Ni1 Ni 0.9005 0.0441 0.9604
Ni2 Ni 0.5295 0.7536 0.0079
Ca1 Ca 0.0986 0.5869 0.2427
Ca2 Ca 0.6952 0.4971 0.6609
Se1 Se 0.3954 0.0429 0.4523
Se2 Se 0.2859 0.3203 0.8976
```

---

5.
Below is a relaxed structure of CaNiSe, with properties calculated at the PBE-GGA level.

Properties
The value obtained for the electronic total energy is -4.204 eV per atom. Its symmetry is Fmm2, No. 42. The uncorrected formation energy is -1.3 eV per formula unit. As for the volume: 20.99 Å³ per atom. The value obtained for the magnetization is 0.00 μB per formula unit. As for the density of states at the Fermi level: 1.07 states/eV/atom. As for the mass density: 4.688 g/cm³.

```
data_CaNiSe
_chemical_formula_sum 'Ca1 Ni1 Se1'
_cell_length_a 5.6618
_cell_length_b 5.3348
_cell_length_c 3.6701
_cell_angle_alpha 75.40
_cell_angle_beta 65.76
_cell_angle_gamma 38.85
_symmetry_space_group_name_H-M 'P 1'
_symmetry_Int_Tables_number 1
loop_
_symmetry_equiv_pos_as_xyz
'x,y,z'
loop_
_atom_site_label
_atom_site_type_symbol
_atom_site_fract_x
_atom_site_fract_y
_atom_site_fract_z
Ni1 Ni 0.2916 0.2916 0.7084
Ca1 Ca 0.0021 0.0021 0.9979
Se1 Se 0.7063 0.7063 0.2937
```

---

6.
Below is a relaxed structure of CaNiSe2, with properties calculated at the PBE-GGA level.

Properties
The value obtained for the electronic total energy is -4.287 eV per atom. Its symmetry is R-3m, No. 166. The uncorrected formation energy is -2.4 eV per formula unit. As for the volume: 32.13 Å³ per atom. The value obtained for the magnetization is 2.00 μB per formula unit. As for the density of states at the Fermi level: 0.05 states/eV/atom. As for the mass density: 3.317 g/cm³.

```
data_CaNiSe2
_chemical_formula_sum 'Ca1 Ni1 Se2'
_cell_length_a 7.7925
_cell_length_b 7.7925
_cell_length_c 7.7925
_cell_angle_alpha 33.52
_cell_angle_beta 33.52
_cell_angle_gamma 33.52
_symmetry_space_group_name_H-M 'P 1'
_symmetry_Int_Tables_number 1
loop_
_symmetry_equiv_pos_as_xyz
'x,y,z'
loop_
_atom_site_label
_atom_site_type_symbol
_atom_site_fract_x
_atom_site_fract_y
_atom_site_fract_z
Ni1 Ni 0.0000 0.0000 0.0000
Ca1 Ca 0.5000 0.5000 0.5000
Se1 Se 0.8998 0.8998 0.8998
Se2 Se 0.1002 0.1002 0.1002
```